First-principles (meta-GGA SCAN) data for a crystal of La3AlN relaxed with PBEsol, as listed in Alexandria via LeMat-Bulk.

## Properties
total energy = -150.85 eV per cell
formation energy (no corrections) = -0.898 eV/atom

Cell lengths 5.0251, 5.0251, 5.0251 Å; angles 90.00, 90.00, 90.00 degrees
With the nearest neighbours (Å) after each atom.
Space group Pm-3m (No. 221)
One atom of each set of equivalent atoms:
La1 0.0000 0.0000 0.5000  2 N 2.51
Al1 0.5000 0.5000 0.5000  12 La 3.55
N1 0.0000 0.0000 0.0000  6 La 2.51

***

First-principles (meta-GGA SCAN) data for a crystal of LaAlSN2 relaxed with PBEsol, as listed in Alexandria via LeMat-Bulk.

## Properties
total energy = -83.07 eV per cell
formation energy (no corrections) = -0.800 eV/atom

Cell lengths 3.9151, 3.9151, 4.6935 Å; angles 90.00, 90.00, 90.00 degrees
With the nearest neighbours (Å) after each atom.
Space group P4/mmm (No. 123)
One atom of each set of equivalent atoms:
La1 0.0000 0.0000 0.0000  4 S 2.77, 8 N 3.06
Al1 0.5000 0.5000 0.5000  4 N 1.96
S1 0.5000 0.5000 0.0000  2 Al 2.35
N1 0.0000 0.5000 0.5000  2 Al 1.96

***

First-principles (meta-GGA SCAN) data for a crystal of LaAlSeN2 relaxed with PBEsol, as listed in Alexandria via LeMat-Bulk.

## Properties
total energy = -92.34 eV per cell
formation energy (no corrections) = -0.564 eV/atom

Cell lengths 3.9913, 3.9913, 4.8940 Å; angles 90.00, 90.00, 90.00 degrees
With the nearest neighbours (Å) after each atom.
Space group P4/mmm (No. 123)
One atom of each set of equivalent atoms:
La1 0.0000 0.0000 0.0000  4 Se 2.82, 8 N 3.16
Al1 0.5000 0.5000 0.5000  4 N 2.00
Se1 0.5000 0.5000 0.0000  2 Al 2.45
N1 0.0000 0.5000 0.5000  2 Al 2.00

***

First-principles (meta-GGA SCAN) data for a crystal of LaAlTe2N relaxed with PBEsol, as listed in Alexandria via LeMat-Bulk.

## Properties
total energy = -137.66 eV per cell
formation energy (no corrections) = -0.602 eV/atom

Cell lengths 5.5826, 5.5826, 3.6602 Å; angles 90.00, 90.00, 90.00 degrees
With the nearest neighbours (Å) after each atom.
Space group P4/mmm (No. 123)
One atom of each set of equivalent atoms:
La1 0.0000 0.0000 0.0000  8 Te 3.34, 2 La 3.66
Al1 0.5000 0.5000 0.5000  2 N 1.83
Te1 0.0000 0.5000 0.5000  2 Al 2.79
N1 0.5000 0.5000 0.0000  2 Al 1.83

***

First-principles (meta-GGA SCAN) data for a crystal of LaNbAl2Tl relaxed with PBEsol, as listed in Alexandria via LeMat-Bulk.

## Properties
total energy = -159.09 eV per cell
energy of formation from the pure elements = 1.001 eV/atom

Cell lengths 4.9885, 4.9885, 5.8140 Å; angles 90.00, 90.00, 90.00 degrees
With the nearest neighbours (Å) after each atom.
Space group P4/mmm (No. 123)
One atom of each set of equivalent atoms:
La1 0.0000 0.0000 0.0000  2 Tl 2.91
Nb1 0.5000 0.5000 0.0000  4 La 3.53, 8 Al 3.83
Al1 0.0000 0.5000 0.5000  2 Tl 2.49
Tl1 0.0000 0.0000 0.5000  4 Al 2.49

***

First-principles (meta-GGA SCAN) data for a crystal of La3Nd3Al22 relaxed with PBEsol, as listed in Alexandria via LeMat-Bulk.

## Properties
total energy = -884.42 eV per cell
energy of formation from the pure elements = -0.414 eV/atom

Cell lengths 16.3341, 4.3902, 16.3327 Å; angles 90.00, 104.88, 90.00 degrees
With the nearest neighbours (Å) after each atom.
Space group Cm (No. 8)
One atom of each set of equivalent atoms:
La1 0.0000 0.0000 0.0000  12 Al 3.19-3.25
La2 0.0007 0.5000 0.4998  12 Al 3.19-3.25
La3 0.3155 0.0000 0.6844  12 Al 3.19-3.25
Nd1 0.1580 0.0000 0.8429  16 Al 3.24-3.61
Nd2 0.1580 0.5000 0.3414  16 Al 3.24-3.61
Nd3 0.3161 0.5000 0.1842  12 Al 3.17-3.23
Al1 0.0091 0.5000 0.8586  5 Al 2.63-2.76
Al2 0.0102 0.0000 0.3587  5 Al 2.63-2.74
Al3 0.0139 0.0000 0.1986  6 Al 2.63-2.82
Al4 0.0141 0.5000 0.6984  6 Al 2.64-2.81
Al5 0.0889 0.0000 0.6377  6 Al 2.64-2.85
Al6 0.0885 0.5000 0.1371  6 Al 2.64-2.86
Al7 0.1411 0.5000 0.9904  5 Al 2.63-2.75
Al8 0.1422 0.0000 0.4905  5 Al 2.63-2.76
Al9 0.1744 0.5000 0.6945  5 Al 2.63-2.77
Al10 0.1745 0.0000 0.1936  5 Al 2.61-2.73
Al11 0.2270 0.0000 0.0475  6 Al 2.64-2.85
Al12 0.2273 0.5000 0.5468  6 Al 2.64-2.85
Al13 0.3014 0.5000 0.9871  6 Al 2.63-2.81
Al14 0.3021 0.0000 0.4852  6 Al 2.64-2.82
Al15 0.3058 0.0000 0.3246  5 Al 2.61-2.74
Al16 0.3065 0.5000 0.8265  5 Al 2.63-2.76
Al17 0.3622 0.0000 0.9125  6 Al 2.64-2.85
Al18 0.3631 0.5000 0.4105  6 Al 2.64-2.87
Al19 0.4074 0.0000 0.0927  8 Al 2.85-3.05
Al20 0.4081 0.5000 0.5921  8 Al 2.85-3.05
Al21 0.4528 0.0000 0.2731  6 Al 2.64-2.85
Al22 0.4533 0.5000 0.7726  6 Al 2.64-2.85

***

First-principles (meta-GGA SCAN) data for a crystal of LaNdAl4 relaxed with PBEsol, as listed in Alexandria via LeMat-Bulk.

## Properties
total energy = -483.56 eV per cell
energy of formation from the pure elements = -0.533 eV/atom

Cell lengths 8.0147, 8.0147, 8.0147 Å; angles 90.00, 90.00, 90.00 degrees
With the nearest neighbours (Å) after each atom.
Space group F-43m (No. 216)
One atom of each set of equivalent atoms:
La1 0.0000 0.0000 0.0000  12 Al 3.32, 4 Nd 3.47
Nd1 0.2500 0.2500 0.2500  12 Al 3.32, 4 La 3.47
Al1 0.1251 0.1251 0.6251  6 Al 2.83-2.84

***

First-principles (meta-GGA SCAN) data for a crystal of LaAl3Ni2 relaxed with PBEsol, as listed in Alexandria via LeMat-Bulk.

## Properties
total energy = -411.82 eV per cell
energy of formation from the pure elements = -0.708 eV/atom

Cell lengths 10.0954, 7.7418, 5.0815 Å; angles 90.00, 90.00, 90.00 degrees
With the nearest neighbours (Å) after each atom.
Space group Cmcm (No. 63)
One atom of each set of equivalent atoms:
La1 0.0000 0.1488 0.2500  11 Al 3.17-3.50, 2 La 3.43, 4 Ni 3.48
Al1 0.0000 0.4412 0.7500  4 Ni 2.43, 4 Al 2.61-2.70
Al2 0.1973 0.2223 0.7500  4 Ni 2.37-2.50, 1 Al 2.61
Ni1 0.2005 0.5000 0.0000  6 Al 2.37-2.50, 2 Ni 2.54

***

First-principles (meta-GGA SCAN) data for a crystal of LaAlNi4 relaxed with PBEsol, as listed in Alexandria via LeMat-Bulk.

## Properties
total energy = -236.60 eV per cell
energy of formation from the pure elements = -0.459 eV/atom

Cell lengths 5.0836, 8.4175, 4.0090 Å; angles 90.00, 90.00, 90.00 degrees
With the nearest neighbours (Å) after each atom.
Space group Cmmm (No. 65)
One atom of each set of equivalent atoms:
La1 0.0000 0.0000 0.0000  6 Ni 2.77-2.92
Al1 0.0000 0.5000 0.5000  8 Ni 2.46-2.47
Ni1 0.0000 0.3293 0.0000  4 Ni 2.47, 2 Al 2.47
Ni2 0.2500 0.2500 0.5000  2 Al 2.46, 6 Ni 2.47-2.54

***

First-principles (meta-GGA SCAN) data for a crystal of LaAlNi4 relaxed with PBEsol, as listed in Alexandria via LeMat-Bulk.

## Properties
total energy = -117.96 eV per cell
energy of formation from the pure elements = -0.402 eV/atom

Cell lengths 5.1108, 5.1108, 3.8227 Å; angles 90.00, 90.00, 120.00 degrees
With the nearest neighbours (Å) after each atom.
Space group P-6m2 (No. 187)
One atom of each set of equivalent atoms:
La1 0.0000 0.0000 0.0000  3 Al 2.95, 15 Ni 2.95-3.19
Al1 0.6667 0.3333 0.0000  6 Ni 2.43
Ni1 0.0055 0.5028 0.5000  6 Ni 2.40-2.60, 2 Al 2.43
Ni2 0.3333 0.6667 0.0000  6 Ni 2.40

***

First-principles (meta-GGA SCAN) data for a crystal of La6Al3Ni4SnRu relaxed with PBEsol, as listed in Alexandria via LeMat-Bulk.

## Properties
total energy = -425.72 eV per cell
energy of formation from the pure elements = -0.560 eV/atom

Cell lengths 9.4909, 9.4909, 4.2023 Å; angles 90.00, 90.00, 120.00 degrees
With the nearest neighbours (Å) after each atom.
Space group P-6m2 (No. 187)
One atom of each set of equivalent atoms:
La1 0.1747 0.3494 0.0000  3 Ni 2.87-2.89
La2 0.5401 0.0802 0.5000  2 Ru 2.96, 4 Ni 3.16
Al1 0.1915 0.0957 0.5000  4 Ni 2.49-2.63, 2 Al 2.73
Ni1 0.0000 0.0000 0.0000  6 Al 2.63, 3 La 2.87, 3 Ni 2.91
Ni2 0.3536 0.1768 0.0000  2 Al 2.49, 1 Ru 2.57
Sn1 0.3333 0.6667 0.5000  9 La 3.35-3.40
Ru1 0.6667 0.3333 0.0000  3 Ni 2.57

***

First-principles (meta-GGA SCAN) data for a crystal of La3AlNiS7 relaxed with PBEsol, as listed in Alexandria via LeMat-Bulk.

## Properties
total energy = -488.04 eV per cell
formation energy (no corrections) = -1.948 eV/atom

Cell lengths 10.0943, 10.0943, 5.7833 Å; angles 90.00, 90.00, 120.00 degrees
With the nearest neighbours (Å) after each atom.
Space group P6_3 (No. 173)
One atom of each set of equivalent atoms:
La1 0.1365 0.3690 0.0000  7 S 2.84-3.09
Al1 0.3333 0.6667 0.4194  4 S 2.19-2.24
Ni1 0.0000 0.0000 0.2655  6 S 2.43
S1 0.0819 0.2211 0.5156  2 Ni 2.43
S2 0.0979 0.5827 0.2765  1 Al 2.24
S3 0.3333 0.6667 0.7987  1 Al 2.19

***

> Which of these has the lowest total energy?

La3Nd3Al22